Material: BAu
Method: DFT, PBE
State: relaxed

a = 7.5913 Å, b = 7.5913 Å, c = 4.0892 Å
α = 90.00°, β = 90.00°, γ = 120.00°
Space group P6_3/m (No. 176)
One atom of each set of equivalent atoms:
1 B 0.0439 0.3496 0.2500
2 Au 0.0480 0.6579 0.2500

Values from the calculation:
The total energy is -49.7 eV for the cell shown. For the magnetic moment, the calculation gives 0.00 μB per cell. As for the density of states at the Fermi level: 0.222 states/eV/atom. Its energy of formation from the pure elements is 0.838 eV/atom.


Material: La2RuCl
Method: DFT, PBE
State: relaxed

a = 7.1611 Å, b = 7.1611 Å, c = 7.1611 Å
α = 90.00°, β = 90.00°, γ = 90.00°
Space group F-43m (No. 216)
One atom of each set of equivalent atoms:
1 La 0.0000 0.0000 0.0000
2 La 0.2500 0.2500 0.2500
3 Ru 0.0000 0.0000 0.5000
4 Cl 0.2500 0.2500 0.7500

Values from the calculation:
The formation energy from raw total energies is -0.015 eV/atom. The total energy is -84.1 eV for the cell shown. For the magnetic moment, the calculation gives 0.00 μB per cell. As for the density of states at the Fermi level: 0.937 states/eV/atom.


Material: Mn2CoOs2
Method: DFT, PBE
State: relaxed

a = 6.9487 Å, b = 6.9487 Å, c = 2.6714 Å
α = 90.00°, β = 90.00°, γ = 90.00°
Space group P4/mbm (No. 127)
One atom of each set of equivalent atoms:
1 Mn 0.1232 0.3768 0.0000
2 Co 0.0000 0.0000 0.0000
3 Os 0.1718 0.6718 0.5000

Values from the calculation:
The total energy is -92.6 eV for the cell shown. For the magnetic moment, the calculation gives 0.00 μB per cell. As for the density of states at the Fermi level: 1.203 states/eV/atom. Its energy of formation from the pure elements is 0.320 eV/atom.